Material: Tb2PrSmDy5
Method: DFT, PBE
State: relaxed

Properties
* crystal system: tetragonal
* symmetry: I4/mcm, No. 140
* formation energy from the elements: 0.276 eV/atom

Lattice parameters (Å, degrees): 8.881 8.881 9.777 117.01 117.01 90.00
Fractional positions:
1 Dy 0.928 0.428 0.266
2 Dy 0.000 0.000 0.000
3 Dy 0.500 0.500 0.000
4 Dy 0.072 0.572 0.734
5 Dy 0.838 0.928 0.266
6 Dy 0.572 0.662 0.734
7 Dy 0.162 0.072 0.734
8 Dy 0.338 0.838 0.266
9 Dy 0.428 0.338 0.266
10 Dy 0.662 0.162 0.734
11 Pr 0.750 0.750 0.500
12 Pr 0.250 0.250 0.500
13 Tb 0.886 0.614 0.000
14 Tb 0.614 0.114 0.000
15 Tb 0.114 0.386 0.000
16 Tb 0.386 0.886 0.000
17 Sm 0.750 0.250 0.500
18 Sm 0.250 0.750 0.500